(1)
{
  "formula": "BaTa2Co",
  "functional": "PBE-GGA",
  "state": "optimized geometry",
  "lattice": [[3.273, 0.000, 0.000], [0.000, 4.737, 0.000], [0.000, 0.000, 5.323]],
  "species": ["Ba", "Co", "Ta", "Ta"],
  "fractional_positions": [[0.500, 0.000, 0.500], [0.000, 0.500, 0.500], [0.000, 0.000, 0.000], [0.500, 0.500, 0.000]]
}

***

(2)
{
  "formula": "BaTaCo4",
  "functional": "PBE-GGA",
  "state": "optimized geometry",
  "lattice": [[-1.199, -2.069, 4.448], [-2.211, 2.801, 3.573], [-4.843, -0.792, 1.193]],
  "species": ["Ba", "Ta", "Co", "Co", "Co", "Co"],
  "fractional_positions": [[0.000, 0.000, 0.000], [0.750, 0.750, 0.750], [0.868, 0.377, 0.377], [0.377, 0.377, 0.868], [0.377, 0.868, 0.377], [0.377, 0.377, 0.377]]
}

***

(3)
{
  "formula": "Ba2TaCo",
  "functional": "PBE-GGA",
  "state": "optimized geometry",
  "lattice": [[6.908, 0.008, -0.132], [5.931, 3.541, -0.132], [2.361, 0.653, 5.030]],
  "species": ["Ba", "Ba", "Co", "Ta"],
  "fractional_positions": [[0.011, 0.011, 0.989], [0.222, 0.222, 0.279], [0.443, 0.443, 0.557], [0.825, 0.825, 0.675]]
}

***

(4)
{
  "formula": "BaTaCo",
  "functional": "PBE-GGA",
  "state": "optimized geometry",
  "lattice": [[-3.719, 0.630, 0.216], [1.896, -1.181, 3.048], [1.105, 5.969, 1.625]],
  "species": ["Ba", "Co", "Ta"],
  "fractional_positions": [[0.000, 0.000, 0.038], [0.333, 0.667, 0.405], [0.667, 0.333, 0.557]]
}

***

Number 1: energy relative to the elements 1.0966 eV per atom. Number 2: energy relative to the elements 0.5942 eV per atom. Number 3: energy relative to the elements 0.6386 eV per atom. Number 4: energy relative to the elements 0.6891 eV per atom.